[1]
VASP calculation (GGA-PBE) on a relaxed MoW3Se6S2 crystal.

The structure in CIF format:
```
data_MoW3Se6S2
_chemical_formula_sum 'Mo1 W3 Se6 S2'
_symmetry_space_group_name_H-M 'P 3 m 1'
_symmetry_Int_Tables_number 156
_cell_length_a 3.2900
_cell_length_b 3.2900
_cell_length_c 35.6873
_cell_angle_alpha 90.00
_cell_angle_beta 90.00
_cell_angle_gamma 120.00
loop_
_symmetry_equiv_pos_as_xyz
'x,y,z'
'-y,x-y,z'
'-x+y,-x,z'
'-y,-x,z'
'-x+y,y,z'
'x,x-y,z'
loop_
_atom_site_label
_atom_site_fract_x
_atom_site_fract_y
_atom_site_fract_z
Mo1 0.0000 0.0000 0.0000
W1 0.0000 0.0000 0.4023
W2 0.6667 0.3333 0.1969
W3 0.6667 0.3333 0.7999
Se1 0.0000 0.0000 0.1494
Se2 0.0000 0.0000 0.2444
Se3 0.0000 0.0000 0.7524
Se4 0.0000 0.0000 0.8474
Se5 0.6667 0.3333 0.3548
Se6 0.6667 0.3333 0.4498
S1 0.6667 0.3333 0.0430
S2 0.6667 0.3333 0.9570
```

Properties
Energy relative to the lowest polymorph listed for this composition = 17 meV per atom

***

[2]
VASP calculation (GGA-PBE) on a relaxed MoWSe2S2 crystal.

The structure in CIF format:
```
data_MoWSe2S2
_chemical_formula_sum 'Mo2 W2 Se4 S4'
_symmetry_space_group_name_H-M 'P -3 m 1'
_symmetry_Int_Tables_number 164
_symmetry_space_group_name_Hall '-P 3 2"'
_cell_length_a 3.2565
_cell_length_b 3.2565
_cell_length_c 36.3102
_cell_angle_alpha 90.00
_cell_angle_beta 90.00
_cell_angle_gamma 120.00
loop_
_atom_site_label
_atom_site_fract_x
_atom_site_fract_y
_atom_site_fract_z
Mo1 0.3333 0.6667 0.2040
W1 0.3333 0.6667 0.6001
Se1 0.3333 0.6667 0.3529
Se2 0.3333 0.6667 0.4469
S1 0.3333 0.6667 0.7535
S2 0.3333 0.6667 0.8385
```

Properties
Energy relative to the lowest polymorph listed for this composition = 35 meV per atom

***

[3]
VASP calculation (GGA-PBE) on a relaxed MoWSe2S2 crystal.

The structure in CIF format:
```
data_MoWSe2S2
_chemical_formula_sum 'Mo1 W1 Se2 S2'
_symmetry_space_group_name_H-M 'P -6 m 2'
_symmetry_Int_Tables_number 187
_symmetry_space_group_name_Hall 'P -6 2'
_cell_length_a 3.2523
_cell_length_b 3.2523
_cell_length_c 14.2680
_cell_angle_alpha 90.00
_cell_angle_beta 90.00
_cell_angle_gamma 120.00
loop_
_atom_site_label
_atom_site_fract_x
_atom_site_fract_y
_atom_site_fract_z
Mo1 0.0000 0.0000 0.0000
W1 0.3333 0.6667 0.5000
Se1 0.3333 0.6667 0.1191
S1 0.0000 0.0000 0.3915
```

Properties
Energy relative to the lowest polymorph listed for this composition = 0 meV per atom

***

[4]
VASP calculation (GGA-PBE) on a relaxed MoW3Se6S2 crystal.

The structure in CIF format:
```
data_MoW3Se6S2
_chemical_formula_sum 'Mo1 W3 Se6 S2'
_symmetry_space_group_name_H-M 'P 3 m 1'
_symmetry_Int_Tables_number 156
_cell_length_a 3.2881
_cell_length_b 3.2881
_cell_length_c 29.6983
_cell_angle_alpha 90.00
_cell_angle_beta 90.00
_cell_angle_gamma 120.00
loop_
_symmetry_equiv_pos_as_xyz
'x,y,z'
'-y,x-y,z'
'-x+y,-x,z'
'-y,-x,z'
'-x+y,y,z'
'x,x-y,z'
loop_
_atom_site_label
_atom_site_fract_x
_atom_site_fract_y
_atom_site_fract_z
Mo1 0.0000 0.0000 0.0000
W1 0.0000 0.0000 0.4884
W2 0.3333 0.6667 0.2458
W3 0.3333 0.6667 0.7423
Se1 0.0000 0.0000 0.6852
Se2 0.0000 0.0000 0.7994
Se3 0.3333 0.6667 0.0568
Se4 0.3333 0.6667 0.4313
Se5 0.3333 0.6667 0.5455
Se6 0.3333 0.6667 0.9432
S1 0.0000 0.0000 0.1940
S2 0.0000 0.0000 0.2977
```

Properties
Energy relative to the lowest polymorph listed for this composition = 0 meV per atom

***

[5]
VASP calculation (GGA-PBE) on a relaxed MoW3Se4S4 crystal.

The structure in CIF format:
```
data_MoW3Se4S4
_chemical_formula_sum 'Mo1 W3 Se4 S4'
_symmetry_space_group_name_H-M 'P 3 m 1'
_symmetry_Int_Tables_number 156
_cell_length_a 3.2552
_cell_length_b 3.2552
_cell_length_c 29.6377
_cell_angle_alpha 90.00
_cell_angle_beta 90.00
_cell_angle_gamma 120.00
loop_
_symmetry_equiv_pos_as_xyz
'x,y,z'
'-y,x-y,z'
'-x+y,-x,z'
'-y,-x,z'
'-x+y,y,z'
'x,x-y,z'
loop_
_atom_site_label
_atom_site_fract_x
_atom_site_fract_y
_atom_site_fract_z
Mo1 0.0000 0.0000 0.0000
W1 0.0000 0.0000 0.5174
W2 0.6667 0.3333 0.2505
W3 0.6667 0.3333 0.7606
Se1 0.0000 0.0000 0.1928
Se2 0.0000 0.0000 0.3081
Se3 0.6667 0.3333 0.4598
Se4 0.6667 0.3333 0.5751
S1 0.0000 0.0000 0.7083
S2 0.0000 0.0000 0.8129
S3 0.6667 0.3333 0.0521
S4 0.6667 0.3333 0.9479
```

Properties
Energy relative to the lowest polymorph listed for this composition = 17 meV per atom

***

[6]
VASP calculation (GGA-PBE) on a relaxed MoWSe2S2 crystal.

The structure in CIF format:
```
data_MoWSe2S2
_chemical_formula_sum 'Mo2 W2 Se4 S4'
_symmetry_space_group_name_H-M 'P 3 m 1'
_symmetry_Int_Tables_number 156
_cell_length_a 3.2526
_cell_length_b 3.2526
_cell_length_c 29.3172
_cell_angle_alpha 90.00
_cell_angle_beta 90.00
_cell_angle_gamma 120.00
loop_
_symmetry_equiv_pos_as_xyz
'x,y,z'
'-y,x-y,z'
'-x+y,-x,z'
'-y,-x,z'
'-x+y,y,z'
'x,x-y,z'
loop_
_atom_site_label
_atom_site_fract_x
_atom_site_fract_y
_atom_site_fract_z
Mo1 0.0000 0.0000 0.0000
Mo2 0.3333 0.6667 0.2624
W1 0.0000 0.0000 0.5132
W2 0.3333 0.6667 0.7553
Se1 0.0000 0.0000 0.2045
Se2 0.0000 0.0000 0.3204
Se3 0.3333 0.6667 0.0580
Se4 0.3333 0.6667 0.9420
S1 0.0000 0.0000 0.7024
S2 0.0000 0.0000 0.8082
S3 0.3333 0.6667 0.4603
S4 0.3333 0.6667 0.5661
```

Properties
Energy relative to the lowest polymorph listed for this composition = 0 meV per atom

***

[7]
VASP calculation (GGA-PBE) on a relaxed MoW3Se2S6 crystal.

The structure in CIF format:
```
data_MoW3Se2S6
_chemical_formula_sum 'Mo1 W3 Se2 S6'
_symmetry_space_group_name_H-M 'P 3 m 1'
_symmetry_Int_Tables_number 156
_cell_length_a 3.2218
_cell_length_b 3.2218
_cell_length_c 28.9098
_cell_angle_alpha 90.00
_cell_angle_beta 90.00
_cell_angle_gamma 120.00
loop_
_symmetry_equiv_pos_as_xyz
'x,y,z'
'-y,x-y,z'
'-x+y,-x,z'
'-y,-x,z'
'-x+y,y,z'
'x,x-y,z'
loop_
_atom_site_label
_atom_site_fract_x
_atom_site_fract_y
_atom_site_fract_z
Mo1 0.0000 0.0000 0.0000
W1 0.0000 0.0000 0.4968
W2 0.3333 0.6667 0.2451
W3 0.3333 0.6667 0.7502
Se1 0.3333 0.6667 0.4373
Se2 0.3333 0.6667 0.5564
S1 0.0000 0.0000 0.1910
S2 0.0000 0.0000 0.2991
S3 0.0000 0.0000 0.6962
S4 0.0000 0.0000 0.8042
S5 0.3333 0.6667 0.0538
S6 0.3333 0.6667 0.9462
```

***

[8]
VASP calculation (GGA-PBE) on a relaxed Si2MoS crystal.

The structure in CIF format:
```
data_Si2MoS
_chemical_formula_sum 'Si8 Mo4 S4'
_symmetry_space_group_name_H-M 'I -4 2 d'
_symmetry_Int_Tables_number 122
_symmetry_space_group_name_Hall 'I -4 2bw'
_cell_length_a 5.928
_cell_length_b 5.928
_cell_length_c 8.653
_cell_angle_alpha 90.00
_cell_angle_beta 90.00
_cell_angle_gamma 90.00
loop_
_atom_site_label
_atom_site_fract_x
_atom_site_fract_y
_atom_site_fract_z
Si1 0.231 0.250 0.125
Mo1 0.000 0.000 0.500
S1 0.000 0.000 0.000
```

***

Let's list electronic total energy in order: -86.44; -86.49; -43.45; -86.65; -88.47; -86.91; -90.57; -94.45 eV/cell.